Entry 1:
Cu5Pt6 at its PBEsol-relaxed geometry. Source: Alexandria, functional meta-GGA SCAN.

The structure in POSCAR format:
```
Cu5Pt6
1.0
4.6010 0.0000 0.0000
-1.5321 5.7960 0.0000
-0.7987 -2.1033 5.5671
Cu Pt
5 6
Direct
0.0000 0.0000 0.0000
0.0905 0.3582 0.8169
0.2706 0.0899 0.4552
0.7294 0.9101 0.5448
0.9095 0.6418 0.1831
0.1771 0.7330 0.6278
0.3602 0.4524 0.2655
0.4486 0.8208 0.0943
0.5514 0.1792 0.9057
0.6398 0.5476 0.7345
0.8229 0.2670 0.3722
```

Output
Total moment (μB/f.u.): 0.00
ΔE to the lowest computed polymorph (eV per atom): 0.009



Entry 2:
Ba3P2 at its PBEsol-relaxed geometry. Source: Alexandria, functional meta-GGA SCAN.

The structure in POSCAR format:
```
Ba3P2
1.0
5.4350 0.0000 0.0000
-2.7175 4.7069 0.0000
0.0000 0.0000 6.7802
Ba P
3 2
Direct
0.0000 0.0000 0.0000
0.3333 0.6667 0.3008
0.6667 0.3333 0.6992
0.3333 0.6667 0.7863
0.6667 0.3333 0.2137
```

Output
Total moment (μB/f.u.): 0.00
ΔE to the lowest computed polymorph (eV per atom): 0.027



Entry 3:
La2SO at its PBEsol-relaxed geometry. Source: Alexandria, functional meta-GGA SCAN.

The structure in POSCAR format:
```
La2SO
1.0
0.0000 3.3456 3.3456
3.3456 0.0000 3.3456
3.3456 3.3456 0.0000
La S O
2 1 1
Direct
0.2500 0.2500 0.2500
0.7500 0.7500 0.7500
0.0000 0.0000 0.0000
0.5000 0.5000 0.5000
```

Output
Raw formation energy (meV per atom): -2133
Total moment (μB/f.u.): 0.00



Entry 4:
MgSc2PW at its PBEsol-relaxed geometry. Source: Alexandria, functional meta-GGA SCAN.

The structure in POSCAR format:
```
MgSc2PW
1.0
4.8079 0.0000 0.0000
0.0000 4.8079 0.0000
0.0000 0.0000 4.5452
Mg Sc P W
1 2 1 1
Direct
0.0000 0.0000 0.0000
0.0000 0.5000 0.5000
0.5000 0.0000 0.5000
0.0000 0.0000 0.5000
0.5000 0.5000 0.0000
```

Output
Total DFT energy (no corrections) (eV/cell): -111.45
Total moment (μB/f.u.): 1.39



Entry 5:
KTl2Au at its PBEsol-relaxed geometry. Source: Alexandria, functional meta-GGA SCAN.

The structure in POSCAR format:
```
KTl2Au
1.0
4.6447 0.0000 0.0000
0.0000 4.6582 0.0000
0.0000 0.0000 4.8779
K Tl Au
1 2 1
Direct
0.0000 0.0000 0.0000
0.0000 0.5000 0.5000
0.5000 0.0000 0.5000
0.5000 0.5000 0.0000
```

Output
Total DFT energy (no corrections) (eV/cell): -222.58
Total moment (μB/f.u.): 0.00



Entry 6:
FeSnI3 at its PBEsol-relaxed geometry. Source: Alexandria, functional meta-GGA SCAN.

The structure in POSCAR format:
```
FeSnI3
1.0
5.9467 0.0000 0.0000
0.0000 5.9467 0.0000
0.0000 0.0000 5.9467
Fe Sn I
1 1 3
Direct
0.0000 0.0000 0.0000
0.5000 0.5000 0.5000
0.0000 0.5000 0.5000
0.5000 0.0000 0.5000
0.5000 0.5000 0.0000
```

Output
Raw formation energy (meV per atom): 526
Total moment (μB/f.u.): 4.75



Entry 7:
Mn4Al11 at its PBEsol-relaxed geometry. Source: Alexandria, functional meta-GGA SCAN.

The structure in POSCAR format:
```
Mn4Al11
1.0
4.9841 0.0000 0.0000
-0.9007 4.9178 0.0000
-0.0224 -2.3301 8.3753
Mn Al
4 11
Direct
0.1642 0.1106 0.3669
0.2148 0.3494 0.9012
0.7852 0.6506 0.0988
0.8358 0.8894 0.6331
0.0064 0.6081 0.3749
0.0664 0.8282 0.8738
0.2992 0.7681 0.1321
0.3450 0.0313 0.6271
0.4493 0.3186 0.1748
0.5000 0.5000 0.5000
0.5507 0.6814 0.8252
0.6550 0.9687 0.3729
0.7008 0.2319 0.8679
0.9336 0.1718 0.1262
0.9936 0.3919 0.6251
```

Output
Total DFT energy (no corrections) (eV/cell): -162.83
Total moment (μB/f.u.): 1.20



Entry 8:
PPb2Se at its PBEsol-relaxed geometry. Source: Alexandria, functional meta-GGA SCAN.

The structure in POSCAR format:
```
PPb2Se
1.0
0.0000 3.6108 3.6108
3.6108 0.0000 3.6108
3.6108 3.6108 0.0000
P Pb Se
1 2 1
Direct
0.0000 0.0000 0.0000
0.2500 0.2500 0.2500
0.5000 0.5000 0.5000
0.7500 0.7500 0.7500
```

Output
Raw formation energy (meV per atom): 452
Total moment (μB/f.u.): 0.00
ΔE to the lowest computed polymorph (eV per atom): 0.568



Entry 9:
LiYTe2 at its PBEsol-relaxed geometry. Source: Alexandria, functional meta-GGA SCAN.

The structure in POSCAR format:
```
LiYTe2
1.0
-2.3559 2.8830 3.7876
2.3559 -2.8830 3.7876
2.3559 2.8830 -3.7876
Li Y Te
1 1 2
Direct
0.0000 0.0000 0.0000
0.5000 0.5000 0.0000
0.2289 0.7289 0.5000
0.7711 0.2711 0.5000
```

Output
Raw formation energy (meV per atom): -1140
Total moment (μB/f.u.): 0.00



Entry 10:
KAlRu2 at its PBEsol-relaxed geometry. Source: Alexandria, functional meta-GGA SCAN.

The structure in POSCAR format:
```
KAlRu2
1.0
2.7374 0.0000 0.0000
0.0000 3.6942 0.0000
0.0000 0.0000 7.8336
K Al Ru
1 1 2
Direct
0.0000 0.0000 0.0000
0.5000 0.5000 0.6512
0.0000 0.0000 0.4686
0.5000 0.5000 0.3329
```

Output
Total DFT energy (no corrections) (eV/cell): -84.60
Total moment (μB/f.u.): 0.00



Entry 11:
SiTeW at its PBEsol-relaxed geometry. Source: Alexandria, functional meta-GGA SCAN.

The structure in POSCAR format:
```
SiTeW
1.0
3.3308 0.0000 0.0000
-1.6654 2.8845 0.0000
0.0000 0.0000 5.7976
Si Te W
1 1 1
Direct
0.0000 0.0000 0.0000
0.3333 0.6667 0.6094
0.6667 0.3333 0.2770
```

Output
Raw formation energy (meV per atom): 428
Total moment (μB/f.u.): 0.00
ΔE to the lowest computed polymorph (eV per atom): 0.000



Entry 12:
Li2RuF6 at its PBEsol-relaxed geometry. Source: Alexandria, functional meta-GGA SCAN.

The structure in POSCAR format:
```
Li2RuF6
1.0
4.6191 0.0000 0.0000
0.0000 4.6191 0.0000
0.0000 0.0000 9.0902
Li Ru F
4 2 12
Direct
0.0000 0.0000 0.1661
0.0000 0.0000 0.8339
0.5000 0.5000 0.3339
0.5000 0.5000 0.6661
0.0000 0.0000 0.5000
0.5000 0.5000 0.0000
0.1957 0.1957 0.3400
0.1957 0.1957 0.6600
0.2083 0.2083 0.0000
0.2917 0.7083 0.5000
0.3043 0.6957 0.1600
0.3043 0.6957 0.8400
0.6957 0.3043 0.1600
0.6957 0.3043 0.8400
0.7083 0.2917 0.5000
0.7917 0.7917 0.0000
0.8043 0.8043 0.3400
0.8043 0.8043 0.6600
```

Output
Raw formation energy (meV per atom): -2528
Total moment (μB/f.u.): 2.00



Entry 13:
TaTlNi2 at its PBEsol-relaxed geometry. Source: Alexandria, functional meta-GGA SCAN.

The structure in POSCAR format:
```
TaTlNi2
1.0
3.1802 0.0000 0.0000
0.0000 3.1802 0.0000
0.0000 0.0000 6.0396
Ta Tl Ni
1 1 2
Direct
0.0000 0.0000 0.0000
0.0000 0.0000 0.5000
0.5000 0.5000 0.2077
0.5000 0.5000 0.7923
```

Output
Total moment (μB/f.u.): 0.00
ΔE to the lowest computed polymorph (eV per atom): 0.000



Entry 14:
Na2BN at its PBEsol-relaxed geometry. Source: Alexandria, functional meta-GGA SCAN.

The structure in POSCAR format:
```
Na2BN
1.0
0.0000 2.9607 2.9607
2.9607 0.0000 2.9607
2.9607 2.9607 0.0000
Na B N
2 1 1
Direct
0.2500 0.2500 0.2500
0.7500 0.7500 0.7500
0.0000 0.0000 0.0000
0.5000 0.5000 0.5000
```

Output
Raw formation energy (meV per atom): 1333
Total moment (μB/f.u.): 0.00



Entry 15:
Rb2NaTiS at its PBEsol-relaxed geometry. Source: Alexandria, functional meta-GGA SCAN.

The structure in POSCAR format:
```
Rb2NaTiS
1.0
6.4477 0.0000 0.0000
0.0000 6.4477 0.0000
0.0000 0.0000 5.2067
Rb Na Ti S
2 1 1 1
Direct
0.0000 0.5000 0.0000
0.5000 0.0000 0.0000
0.0000 0.0000 0.5000
0.5000 0.5000 0.5000
0.0000 0.0000 0.0000
```

Output
Raw formation energy (meV per atom): 21
Total moment (μB/f.u.): 3.00
ΔE to the lowest computed polymorph (eV per atom): 0.104



Entry 16:
BaLi4Tl at its PBEsol-relaxed geometry. Source: Alexandria, functional meta-GGA SCAN.

The structure in POSCAR format:
```
BaLi4Tl
1.0
0.0000 4.1375 4.1375
4.1375 0.0000 4.1375
4.1375 4.1375 0.0000
Ba Li Tl
1 4 1
Direct
0.0000 0.0000 0.0000
0.3782 0.3782 0.3782
0.3782 0.3782 0.8653
0.3782 0.8653 0.3782
0.8653 0.3782 0.3782
0.7500 0.7500 0.7500
```

Output
Total DFT energy (no corrections) (eV/cell): -122.60
Total moment (μB/f.u.): 0.41



Entry 17:
ScSbIr2 at its PBEsol-relaxed geometry. Source: Alexandria, functional meta-GGA SCAN.

The structure in POSCAR format:
```
ScSbIr2
1.0
3.5950 0.0000 0.0000
0.0000 3.5950 0.0000
0.0000 0.0000 5.3900
Sc Sb Ir
1 1 2
Direct
0.0000 0.0000 0.0000
0.5000 0.5000 0.6701
0.0000 0.0000 0.5002
0.5000 0.5000 0.1727
```

Output
Raw formation energy (meV per atom): -451
Total moment (μB/f.u.): 0.00



Entry 18:
Pr at its PBEsol-relaxed geometry. Source: Alexandria, functional meta-GGA SCAN.

The structure in POSCAR format:
```
Pr
1.0
1.8271 1.0549 8.8179
-1.8271 1.0549 8.8179
0.0000 -2.1098 8.8179
Pr
3
Direct
0.0000 0.0000 0.0000
0.2230 0.2230 0.2230
0.7770 0.7770 0.7770
```

Output
Total moment (μB/f.u.): 0.01
ΔE to the lowest computed polymorph (eV per atom): 0.005



Entry 19:
ZrHgRu at its PBEsol-relaxed geometry. Source: Alexandria, functional meta-GGA SCAN.

The structure in POSCAR format:
```
ZrHgRu
1.0
0.0000 3.1472 3.1472
3.1472 0.0000 3.1472
3.1472 3.1472 0.0000
Zr Hg Ru
1 1 1
Direct
0.0000 0.0000 0.0000
0.5000 0.5000 0.5000
0.7500 0.7500 0.7500
```

Output
Total DFT energy (no corrections) (eV/cell): -133.71
Total moment (μB/f.u.): 0.00



Entry 20:
BaCaP at its PBEsol-relaxed geometry. Source: Alexandria, functional meta-GGA SCAN.

The structure in POSCAR format:
```
BaCaP
1.0
0.0000 3.6217 3.6217
3.6217 0.0000 3.6217
3.6217 3.6217 0.0000
Ba Ca P
1 1 1
Direct
0.0000 0.0000 0.0000
0.5000 0.5000 0.5000
0.2500 0.2500 0.2500
```

Output
Total DFT energy (no corrections) (eV/cell): -62.29
Total moment (μB/f.u.): 0.06



Entry 21:
TcCl4 at its PBEsol-relaxed geometry. Source: Alexandria, functional meta-GGA SCAN.

The structure in POSCAR format:
```
TcCl4
1.0
5.9917 0.0000 0.0000
0.0000 11.9038 0.0000
0.0000 0.0000 14.2657
Tc Cl
8 32
Direct
0.1024 0.1283 0.1807
0.1024 0.3717 0.6807
0.3976 0.6283 0.1807
0.3976 0.8717 0.6807
0.6024 0.1283 0.3193
0.6024 0.3717 0.8193
0.8976 0.6283 0.3193
0.8976 0.8717 0.8193
0.0431 0.7452 0.4251
0.0431 0.7548 0.9251
0.0712 0.7389 0.1936
0.0712 0.7611 0.6936
0.2241 0.5175 0.3065
0.2241 0.9825 0.8065
0.2479 0.0112 0.0749
0.2479 0.4888 0.5749
0.2521 0.5112 0.0749
0.2521 0.9888 0.5749
0.2759 0.0175 0.3065
0.2759 0.4825 0.8065
0.4288 0.2389 0.1936
0.4288 0.2611 0.6936
0.4569 0.2452 0.4251
0.4569 0.2548 0.9251
0.5431 0.7452 0.0749
0.5431 0.7548 0.5749
0.5712 0.7389 0.3064
0.5712 0.7611 0.8064
0.7241 0.5175 0.1935
0.7241 0.9825 0.6935
0.7479 0.0112 0.4251
0.7479 0.4888 0.9251
0.7521 0.5112 0.4251
0.7521 0.9888 0.9251
0.7759 0.0175 0.1935
0.7759 0.4825 0.6935
0.9288 0.2389 0.3064
0.9288 0.2611 0.8064
0.9569 0.2452 0.0749
0.9569 0.2548 0.5749
```

Output
Raw formation energy (meV per atom): -878
Total moment (μB/f.u.): 3.00
ΔE to the lowest computed polymorph (eV per atom): 0.000



Entry 22:
Fe2MoBr at its PBEsol-relaxed geometry. Source: Alexandria, functional meta-GGA SCAN.

The structure in POSCAR format:
```
Fe2MoBr
1.0
2.8924 0.0000 0.0000
0.0000 4.2726 0.0000
0.0000 0.0000 4.3548
Fe Mo Br
2 1 1
Direct
0.0000 0.0000 0.0000
0.5000 0.0000 0.5000
0.0000 0.5000 0.5000
0.5000 0.5000 0.0000
```

Output
Raw formation energy (meV per atom): 889
Total moment (μB/f.u.): 4.50
ΔE to the lowest computed polymorph (eV per atom): 0.040



Entry 23:
CaTaNO2 at its PBEsol-relaxed geometry. Source: Alexandria, functional meta-GGA SCAN.

The structure in POSCAR format:
```
CaTaNO2
1.0
5.5137 0.0000 0.0000
0.0000 5.6342 0.0000
-5.4712 0.0000 7.8021
Ca Ta N O
4 4 4 8
Direct
0.2317 0.0429 0.2457
0.2317 0.4571 0.7457
0.7683 0.5429 0.2543
0.7683 0.9571 0.7543
0.0000 0.0000 0.5000
0.0000 0.5000 0.0000
0.5000 0.0000 0.0000
0.5000 0.5000 0.5000
0.1679 0.2146 0.9544
0.1679 0.2854 0.4544
0.8321 0.7146 0.5456
0.8321 0.7854 0.0456
0.2355 0.7136 0.9485
0.2355 0.7864 0.4485
0.3421 0.0234 0.7502
0.3421 0.4766 0.2502
0.6579 0.5234 0.7498
0.6579 0.9766 0.2498
0.7645 0.2136 0.5515
0.7645 0.2864 0.0515
```

Output
Raw formation energy (meV per atom): -2601
Total moment (μB/f.u.): 0.00



Entry 24:
LaRuCl3 at its PBEsol-relaxed geometry. Source: Alexandria, functional meta-GGA SCAN.

The structure in POSCAR format:
```
LaRuCl3
1.0
5.4910 0.0000 0.0000
0.0000 5.4910 0.0000
0.0000 0.0000 5.4910
La Ru Cl
1 1 3
Direct
0.0000 0.0000 0.0000
0.5000 0.5000 0.5000
0.0000 0.0000 0.5000
0.0000 0.5000 0.0000
0.5000 0.0000 0.0000
```

Output
Raw formation energy (meV per atom): -748
Total moment (μB/f.u.): 4.01



Entry 25:
Sc5Hg at its PBEsol-relaxed geometry. Source: Alexandria, functional meta-GGA SCAN.

The structure in POSCAR format:
```
Sc5Hg
1.0
5.7125 -1.6283 0.0000
5.7125 1.6283 0.0000
-1.8022 0.0000 7.2157
Sc Hg
5 1
Direct
0.0000 0.0000 0.0000
0.0291 0.0291 0.6065
0.3883 0.3883 0.2666
0.6668 0.6668 0.3437
0.7185 0.7185 0.9272
0.3176 0.3176 0.6591
```

Output
Total moment (μB/f.u.): 1.33
ΔE to the lowest computed polymorph (eV per atom): 0.000